# 1
VASP calculation (PBE-GGA) on an optimized crystal structure of K2Pb2Se2O.

- symmetry = C2/m, No. 12
- formation energy from raw total energies (meV/atom) = -858

CIF file:
```
data_K2Pb2Se2O
_chemical_formula_sum 'K2 Pb2 Se2 O1'
_symmetry_space_group_name_H-M 'P 1'
_symmetry_Int_Tables_number 1
_symmetry_space_group_name_Hall 'P 1'
_cell_length_a 7.7191
_cell_length_b 7.7191
_cell_length_c 7.4519
_cell_angle_alpha 118.21
_cell_angle_beta 118.21
_cell_angle_gamma 33.99
loop_
_atom_site_label
_atom_site_fract_x
_atom_site_fract_y
_atom_site_fract_z
_atom_site_occupancy
K1 0.0332 0.0332 0.2962 1
K2 0.9668 0.9668 0.7038 1
Pb1 0.3224 0.3224 0.8889 1
Pb2 0.6776 0.6776 0.1111 1
Se1 0.3423 0.3423 0.2934 1
Se2 0.6577 0.6577 0.7066 1
O1 0.5000 0.5000 0.0000 1
```

# 2
VASP calculation (PBE-GGA) on an optimized crystal structure of K2PbSeO4.

- symmetry = I-4, No. 82
- formation energy from raw total energies (meV/atom) = -1026

CIF file:
```
data_K2PbSeO4
_chemical_formula_sum 'K2 Pb1 Se1 O4'
_symmetry_space_group_name_H-M 'P 1'
_symmetry_Int_Tables_number 1
_symmetry_space_group_name_Hall 'P 1'
_cell_length_a 6.3866
_cell_length_b 6.3866
_cell_length_c 6.3866
_cell_angle_alpha 123.89
_cell_angle_beta 123.89
_cell_angle_gamma 83.39
loop_
_atom_site_label
_atom_site_fract_x
_atom_site_fract_y
_atom_site_fract_z
_atom_site_occupancy
K1 0.0000 0.0000 0.0000 1
K2 0.7500 0.2500 0.5000 1
Pb1 0.5000 0.5000 0.0000 1
Se1 0.2500 0.7500 0.5000 1
O1 0.1871 0.0714 0.5402 1
O2 0.3531 0.8129 0.8843 1
O3 0.5312 0.6469 0.4598 1
O4 0.9286 0.4688 0.1157 1
```

# 3
VASP calculation (PBE-GGA) on an optimized crystal structure of KPbSeO6.

- symmetry = P312, No. 149
- formation energy from raw total energies (meV/atom) = -743

CIF file:
```
data_KPbSeO6
_chemical_formula_sum 'K1 Pb1 Se1 O6'
_symmetry_space_group_name_H-M 'P 1'
_symmetry_Int_Tables_number 1
_symmetry_space_group_name_Hall 'P 1'
_cell_length_a 5.4013
_cell_length_b 5.4013
_cell_length_c 5.9704
_cell_angle_alpha 90.00
_cell_angle_beta 90.00
_cell_angle_gamma 120.00
loop_
_atom_site_label
_atom_site_fract_x
_atom_site_fract_y
_atom_site_fract_z
_atom_site_occupancy
K1 0.0000 0.0000 0.0000 1
Pb1 0.6667 0.3333 0.5000 1
Se1 0.3333 0.6667 0.5000 1
O1 0.0523 0.4035 0.3180 1
O2 0.0523 0.6488 0.6820 1
O3 0.3512 0.4035 0.6820 1
O4 0.3512 0.9477 0.3180 1
O5 0.5965 0.6488 0.3180 1
O6 0.5965 0.9477 0.6820 1
```

# 4
VASP calculation (PBE-GGA) on an optimized crystal structure of KPb2Se2O6.

- symmetry = P-1, No. 2
- formation energy from raw total energies (meV/atom) = -999

CIF file:
```
data_KPb2Se2O6
_chemical_formula_sum 'K1 Pb2 Se2 O6'
_symmetry_space_group_name_H-M 'P 1'
_symmetry_Int_Tables_number 1
_symmetry_space_group_name_Hall 'P 1'
_cell_length_a 5.6634
_cell_length_b 7.0052
_cell_length_c 7.0413
_cell_angle_alpha 114.84
_cell_angle_beta 90.38
_cell_angle_gamma 112.76
loop_
_atom_site_label
_atom_site_fract_x
_atom_site_fract_y
_atom_site_fract_z
_atom_site_occupancy
K1 0.0000 0.0000 0.0000 1
Pb1 0.3557 0.7192 0.4702 1
Pb2 0.6443 0.2808 0.5298 1
Se1 0.2746 0.5480 0.8748 1
Se2 0.7254 0.4520 0.1252 1
O1 0.0712 0.6083 0.7398 1
O2 0.3821 0.7824 0.1235 1
O3 0.4609 0.3881 0.2536 1
O4 0.5391 0.6119 0.7464 1
O5 0.6179 0.2176 0.8765 1
O6 0.9288 0.3917 0.2602 1
```

# 5
VASP calculation (PBE-GGA) on an optimized crystal structure of K2Si2PbO6.

- symmetry = C2/m, No. 12
- formation energy from raw total energies (meV/atom) = -1999

CIF file:
```
data_K2Si2PbO6
_chemical_formula_sum 'K2 Si2 Pb1 O6'
_symmetry_space_group_name_H-M 'P 1'
_symmetry_Int_Tables_number 1
_symmetry_space_group_name_Hall 'P 1'
_cell_length_a 5.9804
_cell_length_b 5.9804
_cell_length_c 7.0093
_cell_angle_alpha 112.71
_cell_angle_beta 112.71
_cell_angle_gamma 61.47
loop_
_atom_site_label
_atom_site_fract_x
_atom_site_fract_y
_atom_site_fract_z
_atom_site_occupancy
K1 0.1956 0.1956 0.1464 1
K2 0.8044 0.8044 0.8536 1
Si1 0.4431 0.4431 0.7426 1
Si2 0.5569 0.5569 0.2574 1
Pb1 0.0000 0.0000 0.5000 1
O1 0.2438 0.6886 0.2094 1
O2 0.2715 0.2715 0.6381 1
O3 0.3114 0.7562 0.7906 1
O4 0.6886 0.2438 0.2094 1
O5 0.7285 0.7285 0.3619 1
O6 0.7562 0.3114 0.7906 1
```

# 6
VASP calculation (PBE-GGA) on an optimized crystal structure of KSiPb2O4.

- symmetry = Fmm2, No. 42
- formation energy from raw total energies (meV/atom) = -1650

CIF file:
```
data_KSiPb2O4
_chemical_formula_sum 'K1 Si1 Pb2 O4'
_symmetry_space_group_name_H-M 'P 1'
_symmetry_Int_Tables_number 1
_symmetry_space_group_name_Hall 'P 1'
_cell_length_a 6.6213
_cell_length_b 6.0304
_cell_length_c 5.4984
_cell_angle_alpha 69.93
_cell_angle_beta 58.81
_cell_angle_gamma 51.26
loop_
_atom_site_label
_atom_site_fract_x
_atom_site_fract_y
_atom_site_fract_z
_atom_site_occupancy
K1 0.0000 0.0000 0.0000 1
Si1 0.4359 0.4359 0.5641 1
Pb1 0.2276 0.2276 0.2724 1
Pb2 0.7276 0.7276 0.7724 1
O1 0.1349 0.5375 0.8651 1
O2 0.3614 0.6842 0.3158 1
O3 0.5375 0.1349 0.4625 1
O4 0.6842 0.3614 0.6386 1
```

# 7
VASP calculation (PBE-GGA) on an optimized crystal structure of K2Sm2PbO6.

- symmetry = C2/m, No. 12
- formation energy from raw total energies (meV/atom) = -2177

CIF file:
```
data_K2Sm2PbO6
_chemical_formula_sum 'K2 Sm2 Pb1 O6'
_symmetry_space_group_name_H-M 'P 1'
_symmetry_Int_Tables_number 1
_symmetry_space_group_name_Hall 'P 1'
_cell_length_a 6.1029
_cell_length_b 6.1029
_cell_length_c 6.6883
_cell_angle_alpha 98.02
_cell_angle_beta 98.02
_cell_angle_gamma 120.02
loop_
_atom_site_label
_atom_site_fract_x
_atom_site_fract_y
_atom_site_fract_z
_atom_site_occupancy
K1 0.1626 0.8374 0.0000 1
K2 0.8374 0.1626 0.0000 1
Sm1 0.3345 0.6655 0.5000 1
Sm2 0.6655 0.3345 0.5000 1
Pb1 0.0000 0.0000 0.5000 1
O1 0.0479 0.3784 0.6796 1
O2 0.2531 0.2531 0.3203 1
O3 0.3784 0.0479 0.6796 1
O4 0.6216 0.9521 0.3204 1
O5 0.7469 0.7469 0.6797 1
O6 0.9521 0.6216 0.3204 1
```

# 8
VASP calculation (PBE-GGA) on an optimized crystal structure of KSrPbO3.

- symmetry = P2_1/m, No. 11
- formation energy from raw total energies (meV/atom) = -1647

CIF file:
```
data_KSrPbO3
_chemical_formula_sum 'K2 Sr2 Pb2 O6'
_symmetry_space_group_name_H-M 'P 1'
_symmetry_Int_Tables_number 1
_symmetry_space_group_name_Hall 'P 1'
_cell_length_a 6.3979
_cell_length_b 3.9613
_cell_length_c 9.2206
_cell_angle_alpha 90.00
_cell_angle_beta 98.80
_cell_angle_gamma 90.00
loop_
_atom_site_label
_atom_site_fract_x
_atom_site_fract_y
_atom_site_fract_z
_atom_site_occupancy
K1 0.1629 0.2500 0.1879 1
K2 0.8371 0.7500 0.8121 1
Sr1 0.2537 0.7500 0.5342 1
Sr2 0.7463 0.2500 0.4658 1
Pb1 0.3329 0.2500 0.8388 1
Pb2 0.6671 0.7500 0.1612 1
O1 0.0632 0.2500 0.6496 1
O2 0.2772 0.7500 0.9399 1
O3 0.4772 0.7500 0.3411 1
O4 0.5228 0.2500 0.6589 1
O5 0.7228 0.2500 0.0601 1
O6 0.9368 0.7500 0.3504 1
```

# 9
VASP calculation (PBE-GGA) on an optimized crystal structure of K2SrPbO4.

- symmetry = P2/m, No. 10
- formation energy from raw total energies (meV/atom) = -1614

CIF file:
```
data_K2SrPbO4
_chemical_formula_sum 'K2 Sr1 Pb1 O4'
_symmetry_space_group_name_H-M 'P 1'
_symmetry_Int_Tables_number 1
_symmetry_space_group_name_Hall 'P 1'
_cell_length_a 6.2257
_cell_length_b 3.5964
_cell_length_c 6.6205
_cell_angle_alpha 90.00
_cell_angle_beta 108.79
_cell_angle_gamma 90.00
loop_
_atom_site_label
_atom_site_fract_x
_atom_site_fract_y
_atom_site_fract_z
_atom_site_occupancy
K1 0.0000 0.0000 0.0000 1
K2 0.5000 0.5000 0.0000 1
Sr1 0.0000 0.5000 0.5000 1
Pb1 0.5000 0.0000 0.5000 1
O1 0.2710 0.0000 0.6913 1
O2 0.2840 0.5000 0.2986 1
O3 0.7160 0.5000 0.7014 1
O4 0.7290 0.0000 0.3087 1
```

# 10
VASP calculation (PBE-GGA) on an optimized crystal structure of KSr2PbO4.

- symmetry = Imma, No. 74
- formation energy from raw total energies (meV/atom) = -1862

CIF file:
```
data_KSr2PbO4
_chemical_formula_sum 'K2 Sr4 Pb2 O8'
_symmetry_space_group_name_H-M 'P 1'
_symmetry_Int_Tables_number 1
_symmetry_space_group_name_Hall 'P 1'
_cell_length_a 7.3293
_cell_length_b 7.3293
_cell_length_c 7.3293
_cell_angle_alpha 119.51
_cell_angle_beta 118.77
_cell_angle_gamma 91.50
loop_
_atom_site_label
_atom_site_fract_x
_atom_site_fract_y
_atom_site_fract_z
_atom_site_occupancy
K1 0.5000 0.0000 0.0000 1
K2 0.5000 0.5000 0.5000 1
Sr1 0.0000 0.0000 0.0000 1
Sr2 0.0000 0.0000 0.5000 1
Sr3 0.0000 0.5000 0.0000 1
Sr4 0.5000 0.0000 0.5000 1
Pb1 0.0000 0.5000 0.5000 1
Pb2 0.5000 0.5000 0.0000 1
O1 0.2166 0.7365 0.4802 1
O2 0.2431 0.2386 0.4955 1
O3 0.2431 0.7476 0.0045 1
O4 0.2437 0.2635 0.9802 1
O5 0.7563 0.7365 0.0198 1
O6 0.7569 0.2524 0.9955 1
O7 0.7569 0.7614 0.5045 1
O8 0.7834 0.2635 0.5198 1
```

# 11
VASP calculation (PBE-GGA) on an optimized crystal structure of KTaPbO4.

- symmetry = P2_1/m, No. 11
- formation energy from raw total energies (meV/atom) = -2131

CIF file:
```
data_KTaPbO4
_chemical_formula_sum 'K2 Ta2 Pb2 O8'
_symmetry_space_group_name_H-M 'P 1'
_symmetry_Int_Tables_number 1
_symmetry_space_group_name_Hall 'P 1'
_cell_length_a 6.6448
_cell_length_b 6.4192
_cell_length_c 7.8724
_cell_angle_alpha 90.00
_cell_angle_beta 113.61
_cell_angle_gamma 90.00
loop_
_atom_site_label
_atom_site_fract_x
_atom_site_fract_y
_atom_site_fract_z
_atom_site_occupancy
K1 0.2011 0.2500 0.4659 1
K2 0.7989 0.7500 0.5341 1
Ta1 0.2139 0.7500 0.2066 1
Ta2 0.7861 0.2500 0.7934 1
Pb1 0.3328 0.2500 0.0524 1
Pb2 0.6672 0.7500 0.9476 1
O1 0.0173 0.7500 0.9552 1
O2 0.0432 0.7500 0.3398 1
O3 0.3973 0.5117 0.2611 1
O4 0.3973 0.9883 0.2611 1
O5 0.6027 0.0117 0.7389 1
O6 0.6027 0.4883 0.7389 1
O7 0.9568 0.2500 0.6602 1
O8 0.9827 0.2500 0.0448 1
```

# 12
VASP calculation (PBE-GGA) on an optimized crystal structure of KTaPb2O6.

- symmetry = P2_1/c, No. 14
- formation energy from raw total energies (meV/atom) = -1692

CIF file:
```
data_KTaPb2O6
_chemical_formula_sum 'K2 Ta2 Pb4 O12'
_symmetry_space_group_name_H-M 'P 1'
_symmetry_Int_Tables_number 1
_symmetry_space_group_name_Hall 'P 1'
_cell_length_a 5.7343
_cell_length_b 6.2559
_cell_length_c 10.5951
_cell_angle_alpha 90.00
_cell_angle_beta 122.76
_cell_angle_gamma 90.00
loop_
_atom_site_label
_atom_site_fract_x
_atom_site_fract_y
_atom_site_fract_z
_atom_site_occupancy
K1 0.0000 0.0000 0.0000 1
K2 0.0000 0.5000 0.5000 1
Ta1 0.5000 0.0000 0.5000 1
Ta2 0.5000 0.5000 0.0000 1
Pb1 0.2137 0.0011 0.7135 1
Pb2 0.2137 0.4989 0.2135 1
Pb3 0.7863 0.5011 0.7865 1
Pb4 0.7863 0.9989 0.2865 1
O1 0.1920 0.1880 0.3356 1
O2 0.1920 0.3120 0.8356 1
O3 0.2003 0.6506 0.0011 1
O4 0.2003 0.8494 0.5011 1
O5 0.4820 0.6923 0.8383 1
O6 0.4820 0.8077 0.3383 1
O7 0.5180 0.1923 0.6617 1
O8 0.5180 0.3077 0.1617 1
O9 0.7997 0.1506 0.4989 1
O10 0.7997 0.3494 0.9989 1
O11 0.8080 0.6880 0.1644 1
O12 0.8080 0.8120 0.6644 1
```